## K2CoSeO4 (PBE with a Hubbard U)

Data for a relaxed structure of K2CoSeO4.

Cell: 5.778 6.153 11.358 Å, 83.14 75.27 62.00°
Each line ends with the local moment (μB).
Element x y z (fractional)
O 0.166 0.007 0.114  0.12
O 0.828 0.007 0.886  0.12
O 0.287 0.993 0.886  0.12
O 0.584 0.493 0.386  0.12
O 0.720 0.993 0.114  0.12
O 0.922 0.493 0.614  0.12
O 0.463 0.507 0.614  0.12
O 0.030 0.507 0.386  0.12
K 0.836 0.000 0.328  0.00
K 0.586 0.500 0.828  0.00
K 0.164 0.000 0.672  0.00
K 0.914 0.500 0.172  0.00
Co 0.750 0.500 0.500  1.75
Co 0.000 0.000 0.000  1.75
Se 0.250 0.500 0.500  -0.03
Se 0.500 0.000 0.000  -0.03

Results
E (eV per atom): -4.826
Spin magnetization (μB per cell): 4.52
D(E_F) (states/eV/atom): 0.34